{
  "formula": "Mg2AlAsC",
  "functional": "PBE",
  "state": "relaxed",
  "cell": [[4.4127, 0.0000, 0.0000], [0.0000, 4.4127, 0.0000], [0.0000, 0.0000, 3.9508]],
  "species": ["Mg", "Mg", "Al", "As", "C"],
  "frac_coords": [[0.0000, 0.5000, 0.0000], [0.5000, 0.0000, 0.0000], [0.0000, 0.0000, 0.5000], [0.5000, 0.5000, 0.5000], [0.0000, 0.0000, 0.0000]],
  "spacegroup": "P4/mmm (123)",
  "ef_mev_per_atom": -144
}

***

{
  "formula": "IrRuO",
  "functional": "PBE",
  "state": "relaxed",
  "cell": [[2.4453, -1.3677, 0.0000], [2.4453, 1.3677, 0.0000], [-0.8097, 0.0000, 5.6358]],
  "species": ["Ir", "Ru", "O"],
  "frac_coords": [[0.0000, 0.0000, 0.0000], [0.6145, 0.6145, 0.6313], [0.5573, 0.5573, 0.2950]],
  "raw_formation_energy_ev_per_atom": -0.04,
  "spacegroup": "Cm (8)",
  "e_above_lowest_polymorph_kj_per_mol_atoms": 21.6
}

***

{
  "formula": "Hf2MnZnC",
  "functional": "PBE",
  "state": "relaxed",
  "cell": [[4.5237, 0.0000, 0.0000], [0.0000, 4.5237, 0.0000], [0.0000, 0.0000, 3.6890]],
  "species": ["Hf", "Hf", "Mn", "Zn", "C"],
  "frac_coords": [[0.0000, 0.5000, 0.0000], [0.5000, 0.0000, 0.0000], [0.0000, 0.0000, 0.5000], [0.5000, 0.5000, 0.5000], [0.0000, 0.0000, 0.0000]],
  "spacegroup": "P4/mmm (123)",
  "ef_mev_per_atom": -374
}